## BaAg7F12 (GGA-PBE)

Data for a relaxed BaAg7F12 crystal.

Lattice parameters (Å, degrees): 7.503 7.503 7.503 109.47 109.47 109.47
Element x y z (fractional)
Ba (0.000, 0.000, 0.000)
Ag (0.000, 0.000, 0.500)
Ag (0.000, 0.500, 0.000)
Ag (0.000, 0.500, 0.500)
Ag (0.500, 0.000, 0.000)
Ag (0.500, 0.000, 0.500)
Ag (0.500, 0.500, 0.000)
Ag (0.500, 0.500, 0.500)
F (0.120, 0.829, 0.290)
F (0.171, 0.290, 0.461)
F (0.171, 0.710, 0.880)
F (0.290, 0.120, 0.829)
F (0.290, 0.461, 0.171)
F (0.461, 0.171, 0.290)
F (0.539, 0.829, 0.710)
F (0.710, 0.539, 0.829)
F (0.710, 0.880, 0.171)
F (0.829, 0.290, 0.120)
F (0.829, 0.710, 0.539)
F (0.880, 0.171, 0.710)

***

## Ba2AgF (GGA-PBE)

Data for a relaxed Ba2AgF crystal.

Values from the calculation:
Energy relative to the lowest polymorph listed for this composition   0.00 eV/f.u.

Lattice parameters (Å, degrees): 7.248 7.248 7.248 114.88 114.88 99.12
Element x y z (fractional)
Ba (0.059, 0.625, 0.934)
Ba (0.375, 0.309, 0.434)
Ba (0.691, 0.125, 0.066)
Ba (0.875, 0.941, 0.566)
Ag (0.250, 0.750, 0.500)
Ag (0.500, 0.500, 0.000)
F (0.000, 0.000, 0.000)
F (0.750, 0.250, 0.500)

***

## BaAg3F12 (GGA-PBE)

Data for a relaxed BaAg3F12 crystal.

Lattice parameters (Å, degrees): 8.089 8.089 8.089 83.53 83.53 83.53
Element x y z (fractional)
Ba (0.250, 0.250, 0.250)
Ba (0.750, 0.750, 0.750)
Ag (0.110, 0.750, 0.390)
Ag (0.250, 0.610, 0.890)
Ag (0.390, 0.110, 0.750)
Ag (0.610, 0.890, 0.250)
Ag (0.750, 0.390, 0.110)
Ag (0.890, 0.250, 0.610)
F (0.047, 0.602, 0.592)
F (0.092, 0.102, 0.547)
F (0.092, 0.800, 0.826)
F (0.102, 0.547, 0.092)
F (0.174, 0.908, 0.200)
F (0.200, 0.174, 0.908)
F (0.300, 0.592, 0.326)
F (0.326, 0.300, 0.592)
F (0.398, 0.408, 0.953)
F (0.408, 0.674, 0.700)
F (0.408, 0.953, 0.398)
F (0.453, 0.908, 0.898)
F (0.547, 0.092, 0.102)
F (0.592, 0.047, 0.602)
F (0.592, 0.326, 0.300)
F (0.602, 0.592, 0.047)
F (0.674, 0.700, 0.408)
F (0.700, 0.408, 0.674)
F (0.800, 0.826, 0.092)
F (0.826, 0.092, 0.800)
F (0.898, 0.453, 0.908)
F (0.908, 0.200, 0.174)
F (0.908, 0.898, 0.453)
F (0.953, 0.398, 0.408)

***

ΔE_f (raw) per entry: -1.496; -1.399; -1.480 eV per atom
DFT total energy per entry: -3.71; -3.54; -3.54 eV per atom